(1)
First-principles (PBEsol) data for a geometry-optimized TcSb4Cl structure, as listed in Alexandria via LeMat-Bulk.

Properties
calculated volume = 26.07 A^3/atom
formation energy without anion corrections = 0.80 eV per atom
M_tot = 4.011 μB/f.u.
VASP energy = -4.45 eV/atom
Fermi-level density of states = 0.544 states/eV/atom

```
TcSb4Cl
1.0
-0.424 -0.611 6.002
3.421 -4.075 2.874
4.538 1.829 3.554
Sb Tc Cl
4 1 1
direct
0.373 0.373 0.373
0.373 0.373 0.882
0.882 0.373 0.373
0.373 0.882 0.373
0.750 0.750 0.750
0.000 0.000 0.000
```

---

(2)
First-principles (PBEsol) data for a geometry-optimized CrRhAu2 structure, as listed in Alexandria via LeMat-Bulk.

Properties
calculated volume = 15.16 A^3/atom
energy of formation = 0.165 eV per atom
M_tot = 2.883 μB/f.u.
VASP energy = -6.39 eV/atom
Fermi-level density of states = 0.993 states/eV/atom

```
CrRhAu2
1.0
-1.200 -1.899 -1.841
4.725 -0.097 -0.689
-0.623 -3.050 3.553
Au Cr Rh
2 1 1
direct
0.997 0.993 0.998
0.757 0.515 0.253
0.509 0.017 0.517
0.237 0.475 0.732
```